A relaxed structure of NpTc2O6. Source: Alexandria via LeMat-Bulk, functional GGA-PBE.

Cell: 4.876 4.876 9.232 Å, 90.00 90.00 90.00°
Positions (direct):
O 0.691 0.691 0.500
O 0.809 0.191 0.000
O 0.287 0.287 0.823
O 0.787 0.213 0.677
O 0.309 0.309 0.500
O 0.287 0.287 0.177
O 0.713 0.713 0.177
O 0.191 0.809 0.000
Tc 0.000 0.000 0.826
O 0.213 0.787 0.323
Tc 0.500 0.500 0.674
Tc 0.500 0.500 0.326
Tc 0.000 0.000 0.174
Np 0.500 0.500 0.000
O 0.713 0.713 0.823
O 0.787 0.213 0.323
O 0.213 0.787 0.677
Np 0.000 0.000 0.500

Summary:
Uncorrected energy   -8.9313 eV/atom
Calculated volume   219.5 Å³/cell
Crystal system   tetragonal
SG   P4_2/mnm